Density functional theory data (GGA-PBEsol) for Rb2SnBr6 after structural relaxation.

Output
As for the total energy: -3.139 eV/atom. Its space group is Fm-3m. The raw formation energy comes out at -1.191 eV/atom.

a = 7.501 Å, b = 7.501 Å, c = 7.501 Å
α = 60.00°, β = 60.00°, γ = 60.00°
Fractional coordinates of all 9 atoms:
Br  0.247  0.753  0.247
Br  0.753  0.753  0.247
Br  0.247  0.247  0.753
Br  0.753  0.247  0.247
Br  0.247  0.753  0.753
Br  0.753  0.247  0.753
Sn  0.000  0.000  0.000
Rb  0.750  0.750  0.750
Rb  0.250  0.250  0.250

***

Density functional theory data (GGA-PBEsol) for InS2Br after structural relaxation.

Output
The value obtained for the energy above the most stable polymorph in this dataset is 0.000 eV/atom. As for the total energy: -3.726 eV/atom. Its space group is R-3m. The raw formation energy comes out at -0.321 eV/atom.

a = 3.911 Å, b = 3.911 Å, c = 7.886 Å
α = 75.64°, β = 75.64°, γ = 60.00°
Fractional coordinates of all 4 atoms:
S  0.892  0.892  0.323
S  0.108  0.108  0.677
Br  0.000  0.000  0.000
In  0.500  0.500  0.500

***

Density functional theory data (GGA-PBEsol) for SiOsCl after structural relaxation.

Output
As for the total energy: -6.150 eV/atom. Its space group is F-43m. The raw formation energy comes out at 0.506 eV/atom.

a = 4.102 Å, b = 4.102 Å, c = 4.102 Å
α = 60.00°, β = 60.00°, γ = 60.00°
Fractional coordinates of all 3 atoms:
Os  0.750  0.750  0.750
Cl  0.500  0.500  0.500
Si  0.000  0.000  0.000

***

Density functional theory data (GGA-PBEsol) for CaZnCu2 after structural relaxation.

Output
As for the total energy: -3.214 eV/atom. Its space group is Cm. The value obtained for the formation enthalpy at 0 K is -0.118 eV per atom.

a = 4.144 Å, b = 4.147 Å, c = 5.474 Å
α = 67.66°, β = 67.76°, γ = 60.02°
Fractional coordinates of all 4 atoms:
Zn  0.552  0.552  0.344
Ca  0.748  0.748  0.756
Cu  0.255  0.255  0.234
Cu  0.945  0.945  0.166

***

Density functional theory data (GGA-PBEsol) for KCoSe2Br after structural relaxation.

Output
As for the total energy: -2.347 eV/atom. Its space group is P4/mmm. The raw formation energy comes out at 1.341 eV/atom.

a = 5.588 Å, b = 5.614 Å, c = 5.614 Å
α = 90.00°, β = 90.00°, γ = 90.00°
Last column: magnetic moment on the atom in μB.
Fractional coordinates of all 5 atoms:
Se  0.000  0.500  0.000  0.70
Se  0.000  0.000  0.500  0.70
Co  0.500  0.500  0.500  2.26
K  0.000  0.000  0.000  0.05
Br  0.500  0.000  0.000  0.21

***

Density functional theory data (GGA-PBEsol) for Ca2ZnRe after structural relaxation.

Output
As for the total energy: -4.359 eV/atom. Its space group is Imm2. The value obtained for the formation enthalpy at 0 K is 0.436 eV per atom.

a = 3.003 Å, b = 5.224 Å, c = 6.219 Å
α = 114.84°, β = 103.97°, γ = 90.00°
Fractional coordinates of all 4 atoms:
Re  0.529  0.529  0.058
Ca  0.779  0.279  0.558
Ca  0.975  0.975  0.949
Zn  0.218  0.718  0.435

***

How do the records compare in magnetic moment? In the order shown, they have 0.00 0.00 0.00 0.00 0.98 0.00 μB/atom.